[1]
DFT (PBE+U) results for crystalline Sr2MnBiPbO6 at its relaxed geometry.

DFT total energy = -6.291 eV/atom
crystal system = monoclinic

The structure in POSCAR format:
```
Sr2MnBiPbO6
1.0
5.583 0.000 0.000
0.000 5.473 0.000
-2.739 0.000 12.093
Sr Mn Bi Pb O
4 2 2 2 12
direct
0.068 0.000 0.149
0.423 0.501 0.851
0.577 0.501 0.149
0.932 0.000 0.851
0.000 0.501 0.000
0.500 0.001 0.000
0.208 0.468 0.369
0.792 0.468 0.631
0.331 0.978 0.633
0.669 0.978 0.367
0.063 0.512 0.197
0.252 0.251 0.006
0.253 0.749 0.006
0.267 0.085 0.353
0.384 0.003 0.817
0.429 0.564 0.643
0.571 0.564 0.357
0.616 0.003 0.183
0.733 0.085 0.647
0.747 0.749 0.994
0.748 0.251 0.994
0.937 0.512 0.803
```


[2]
DFT (PBE+U) results for crystalline PmMnBi2O6 at its relaxed geometry.

DFT total energy = -6.770 eV/atom
crystal system = triclinic

The structure in POSCAR format:
```
PmMnBi2O6
1.0
5.646 0.000 0.000
-0.002 5.938 0.000
-2.799 -2.905 4.673
Pm Mn Bi O
1 1 2 6
direct
0.000 0.000 0.000
0.547 0.550 0.065
0.232 0.651 0.433
0.707 0.169 0.446
0.224 0.374 0.031
0.369 0.315 0.513
0.374 0.833 0.025
0.665 0.844 0.539
0.786 0.333 0.172
0.872 0.775 0.159
```


[3]
DFT (PBE+U) results for crystalline PmMnBiO6 at its relaxed geometry.

DFT total energy = -6.847 eV/atom
crystal system = trigonal

The structure in POSCAR format:
```
PmMnBiO6
1.0
5.324 0.000 0.000
-2.662 4.611 0.000
0.000 0.000 10.136
Pm Mn Bi O
2 2 2 12
direct
0.000 0.000 0.000
0.000 0.000 0.500
0.333 0.667 0.250
0.667 0.333 0.750
0.333 0.667 0.750
0.667 0.333 0.250
0.028 0.377 0.139
0.028 0.651 0.361
0.349 0.377 0.361
0.349 0.972 0.139
0.377 0.028 0.639
0.377 0.349 0.861
0.623 0.651 0.139
0.623 0.972 0.361
0.651 0.028 0.861
0.651 0.623 0.639
0.972 0.349 0.639
0.972 0.623 0.861
```


[4]
DFT (PBE+U) results for crystalline MnBiPt2O8 at its relaxed geometry.

DFT total energy = -5.235 eV/atom
crystal system = trigonal

The structure in POSCAR format:
```
MnBiPt2O8
1.0
5.959 0.000 0.000
-2.980 5.161 0.000
0.000 0.000 5.803
Mn Bi Pt O
1 1 2 8
direct
0.000 0.000 0.000
0.000 0.000 0.500
0.333 0.667 0.450
0.667 0.333 0.550
0.066 0.392 0.654
0.326 0.934 0.654
0.333 0.667 0.134
0.392 0.326 0.346
0.608 0.674 0.654
0.667 0.333 0.866
0.674 0.066 0.346
0.934 0.608 0.346
```


[5]
DFT (PBE+U) results for crystalline Mn2BiPtO8 at its relaxed geometry.

DFT total energy = -6.371 eV/atom
crystal system = orthorhombic

The structure in POSCAR format:
```
Mn2BiPtO8
1.0
3.280 -3.291 0.000
3.280 3.291 0.000
0.000 0.000 6.465
Mn Bi Pt O
2 1 1 8
direct
0.000 0.000 0.239
0.000 0.000 0.761
0.500 0.500 0.500
0.500 0.500 0.000
0.177 0.823 0.500
0.193 0.807 0.000
0.298 0.298 0.234
0.298 0.298 0.766
0.702 0.702 0.234
0.702 0.702 0.766
0.807 0.193 0.000
0.823 0.177 0.500
```


[6]
DFT (PBE+U) results for crystalline PuMnBi2O8 at its relaxed geometry.

DFT total energy = -7.401 eV/atom
crystal system = orthorhombic

The structure in POSCAR format:
```
PuMnBi2O8
1.0
3.550 -3.638 0.000
3.550 3.638 0.000
0.000 0.000 6.944
Pu Mn Bi O
1 1 2 8
direct
0.000 0.000 0.000
0.000 0.000 0.500
0.500 0.500 0.259
0.500 0.500 0.741
0.181 0.819 0.224
0.181 0.819 0.776
0.289 0.289 0.000
0.292 0.292 0.500
0.708 0.708 0.500
0.711 0.711 0.000
0.819 0.181 0.224
0.819 0.181 0.776
```